No. 1
! Ac2TlGaIr, relaxed, DFT PBE; values from VASP
! Raw total energy (eV per formula unit): -25.0
! Crystal system: monoclinic
! Formation energy from the elements (eV/atom): -0.515
! Fermi-level density of states (states/eV per cell): 6.6
&SYSTEM
  ibrav = 0, nat = 10, ntyp = 4
/
ATOMIC_SPECIES
Ac 227.00 Ac.upf
Tl 204.38 Tl.upf
Ga 69.72 Ga.upf
Ir 192.22 Ir.upf
ATOMIC_POSITIONS angstrom
Ac -4.279 -6.490 1.930
Ac -6.060 -2.373 -0.064
Ac -0.066 -2.298 1.768
Ac 1.715 -6.415 3.761
Tl -3.001 -4.195 -0.371
Tl -1.344 -4.592 4.068
Ga -1.021 -5.865 1.461
Ga -3.324 -2.923 2.236
Ir -1.830 -8.250 1.118
Ir -2.515 -0.537 2.579
CELL_PARAMETERS angstrom
-2.943 0.477 3.616
-5.665 -3.413 -4.161
4.263 -5.852 4.242

No. 2
! AcTmGaIr, relaxed, DFT PBE; values from VASP
! Raw total energy (eV per formula unit): -22.3
! Crystal system: cubic
! Formation energy from the elements (eV/atom): -0.462
! Fermi-level density of states (states/eV per cell): 4.0
&SYSTEM
  ibrav = 0, nat = 4, ntyp = 4
/
ATOMIC_SPECIES
Ac 227.00 Ac.upf
Ir 192.22 Ir.upf
Tm 168.93 Tm.upf
Ga 69.72 Ga.upf
ATOMIC_POSITIONS angstrom
Ac 0.000 0.000 0.000
Ir -3.042 0.614 -0.609
Tm -6.083 1.229 -1.218
Ga -9.125 1.843 -1.827
CELL_PARAMETERS angstrom
-3.240 2.863 -2.824
-4.461 -2.014 -1.646
-4.466 1.609 2.033